Density functional theory data (GGA-PBE) for a relaxed Er2SiBr3 crystal.

Symmetry   C2/m (12)
Uncorrected formation energy   -126 kJ/mol of atoms

a = 9.5781 Å, b = 9.5781 Å, c = 12.6661 Å
α = 128.51°, β = 128.51°, γ = 24.13°
Last column: nearest neighbours and their distance in Å.
Fractional coordinates of all 12 atoms:
Er: 0.1105 0.1105 0.4405  2 Si 2.78-2.95, 4 Br 2.84-2.92
Er: 0.3744 0.3744 0.1828  2 Si 2.81, 4 Br 2.86-2.95
Er: 0.6256 0.6256 0.8172  2 Si 2.81, 4 Br 2.86-2.95
Er: 0.8895 0.8895 0.5595  2 Si 2.78-2.95, 4 Br 2.84-2.92
Si: 0.0602 0.0602 0.6185  1 Si 2.34
Si: 0.9398 0.9398 0.3815  1 Si 2.34
Br: 0.1763 0.1763 0.0261  3 Er 2.89-2.95
Br: 0.2574 0.2574 0.3850  2 Er 2.84
Br: 0.4548 0.4548 0.7711  3 Er 2.86-2.92
Br: 0.5452 0.5452 0.2289  3 Er 2.86-2.92
Br: 0.7426 0.7426 0.6150  2 Er 2.84
Br: 0.8237 0.8237 0.9739  3 Er 2.89-2.95